Material: La8SiAs3Br4
Method: DFT, PBE
State: optimized geometry

Unit cell a=8.7331 b=8.7331 c=21.9195 alpha=90.00 beta=90.00 gamma=120.00
Closest atoms and distances in Å follow each position.
Space group R-3m (No. 166, hexagonal axes)
Asymmetric unit:
La: 0.0000 0.0000 0.2389 (multiplicity 6)  3 As 2.98, 3 Br 3.26
La: 0.0056 0.5028 0.2388 (multiplicity 18)  1 Si 2.94, 2 As 2.99, 2 Br 3.25
Si: 0.0000 0.0000 0.5000 (multiplicity 3)  6 La 2.94
As: 0.0000 0.5000 0.5000 (multiplicity 9)  6 La 2.98-2.99
Br: 0.0000 0.0000 0.0000 (multiplicity 3)  6 La 3.30
Br: 0.0000 0.5000 0.0000 (multiplicity 9)  6 La 3.25-3.26

Output
ΔE_f (raw) (eV/atom): -1.46